No. 1
## Rb10AgAu4 (PBE-GGA)

Data for a relaxed structure of Rb10AgAu4.

## Properties
calculated density = 3.825 Mg/m³
uncorrected energy = -1.83 eV per atom
magnetic moment = 0.20 μB/atom

a b c (Å): 24.762 24.762 24.762
angles (deg): 13.88 13.88 13.88
Fractional positions:
Rb 0.049 0.049 0.049
Rb 0.148 0.148 0.148
Rb 0.251 0.251 0.251
Rb 0.350 0.350 0.350
Rb 0.448 0.448 0.448
Rb 0.552 0.552 0.552
Rb 0.650 0.650 0.650
Rb 0.749 0.749 0.749
Rb 0.852 0.852 0.852
Rb 0.951 0.951 0.951
Ag 0.500 0.500 0.500
Au 0.098 0.098 0.098
Au 0.301 0.301 0.301
Au 0.699 0.699 0.699
Au 0.902 0.902 0.902



No. 2
## TlCuO2 (PBE-GGA)

Data for a relaxed structure of TlCuO2.

## Properties
calculated density = 8.124 Mg/m³
uncorrected energy = -4.56 eV per atom
magnetic moment = 0.00 μB/atom

a b c (Å): 6.108 6.108 6.108
angles (deg): 132.20 132.20 69.91
Fractional positions:
Tl 0.000 0.000 0.000
Tl 0.750 0.250 0.500
Cu 0.250 0.750 0.500
Cu 0.500 0.500 0.000
O 0.172 0.625 0.047
O 0.375 0.422 0.547
O 0.578 0.125 0.953
O 0.875 0.828 0.453



No. 3
## TiAl2Cr (PBE-GGA)

Data for a relaxed structure of TiAl2Cr.

## Properties
calculated density = 4.284 Mg/m³
uncorrected energy = -6.47 eV per atom
magnetic moment = 0.37 μB/atom

a b c (Å): 3.840 3.840 4.045
angles (deg): 90.00 90.00 90.00
Fractional positions:
Ti 0.000 0.000 0.000
Al 0.000 0.500 0.500
Al 0.500 0.000 0.500
Cr 0.500 0.500 0.000



No. 4
## PaMoPN (PBE-GGA)

Data for a relaxed structure of PaMoPN.

## Properties
calculated density = 9.615 Mg/m³
uncorrected energy = -9.68 eV per atom
magnetic moment = 0.00 μB/atom

a b c (Å): 3.889 3.889 8.492
angles (deg): 90.00 90.00 90.00
Fractional positions:
Pa 0.250 0.250 0.143
Pa 0.750 0.750 0.857
Mo 0.250 0.750 0.500
Mo 0.750 0.250 0.500
P 0.250 0.250 0.682
P 0.750 0.750 0.318
N 0.250 0.750 0.000
N 0.750 0.250 0.000



No. 5
## TbErPt (PBE-GGA)

Data for a relaxed structure of TbErPt.

## Properties
calculated density = 10.731 Mg/m³
uncorrected energy = -5.96 eV per atom
magnetic moment = 0.00 μB/atom

a b c (Å): 4.850 4.850 4.850
angles (deg): 60.00 60.00 60.00
Fractional positions:
Tb 0.000 0.000 0.000
Er 0.500 0.500 0.500
Pt 0.250 0.250 0.250



No. 6
## SrNd5Pb6 (PBE-GGA)

Data for a relaxed structure of SrNd5Pb6.

## Properties
calculated density = 9.203 Mg/m³
uncorrected energy = -4.48 eV per atom
magnetic moment = 0.02 μB/atom

a b c (Å): 9.427 9.427 9.427
angles (deg): 148.32 121.54 68.03
Fractional positions:
Sr 0.000 0.000 0.000
Nd 0.167 0.667 0.500
Nd 0.335 0.335 0.000
Nd 0.500 0.000 0.500
Nd 0.665 0.665 0.000
Nd 0.833 0.333 0.500
Pb 0.082 0.831 0.251
Pb 0.253 0.500 0.753
Pb 0.420 0.169 0.251
Pb 0.580 0.831 0.749
Pb 0.747 0.500 0.247
Pb 0.918 0.169 0.749



No. 7
## HfOsNO2 (PBE-GGA)

Data for a relaxed structure of HfOsNO2.

## Properties
calculated density = 11.625 Mg/m³
uncorrected energy = -8.24 eV per atom
magnetic moment = 0.00 μB/atom

a b c (Å): 3.940 3.940 3.816
angles (deg): 90.00 90.00 90.00
Fractional positions:
Hf 0.000 0.000 0.000
Os 0.500 0.500 0.500
N 0.500 0.500 0.000
O 0.000 0.500 0.500
O 0.500 0.000 0.500



No. 8
## CaScW4 (PBE-GGA)

Data for a relaxed structure of CaScW4.

## Properties
calculated density = 11.708 Mg/m³
uncorrected energy = -9.67 eV per atom
magnetic moment = 0.00 μB/atom

a b c (Å): 5.480 5.480 5.480
angles (deg): 60.00 60.00 60.00
Fractional positions:
Ca 0.000 0.000 0.000
Sc 0.750 0.750 0.750
W 0.375 0.375 0.375
W 0.375 0.375 0.876
W 0.375 0.876 0.375
W 0.876 0.375 0.375